<1>
Compound: VHgIO2
Source: Alexandria via LeMat-Bulk
Functional: PBE with a Hubbard U
Structure: relaxed

Values from the calculation:
- Fermi-level density of states: 9.768 states/eV/f.u.
- SG: No. 123
- Magnetization: 3.41 Bohr magnetons per cell
- ρ: 6.1 g/cm3

Geometry as POSCAR:
```
VHgIO2
1.0
-2.796 -3.158 0.013
1.523 -1.363 -3.690
4.141 -3.654 3.060
O Hg V I
2 1 1 1
direct
0.000 0.500 0.000
0.500 0.000 0.000
0.000 0.000 0.000
0.500 0.500 0.500
0.000 0.000 0.500
```


<2>
Compound: VHgIO2
Source: Alexandria via LeMat-Bulk
Functional: PBE with a Hubbard U
Structure: relaxed

Values from the calculation:
- Fermi-level density of states: 1.969 states/eV/f.u.
- SG: No. 123
- Magnetization: 1.18 Bohr magnetons per cell
- ρ: 7.4 g/cm3

Geometry as POSCAR:
```
VHgIO2
1.0
-3.531 -0.174 -1.815
0.776 -3.724 -1.152
-2.435 -2.033 4.933
O I Hg V
2 1 1 1
direct
0.000 0.500 0.000
0.500 0.000 0.000
0.000 0.000 0.500
0.500 0.500 0.500
0.000 0.000 0.000
```


Which of them is the least stable? Correct choice: <1>.


<1>
Compound: HgWIO2
Source: Alexandria via LeMat-Bulk
Functional: PBE with a Hubbard U
Structure: relaxed

Values from the calculation:
- Fermi-level density of states: 2.424 states/eV/f.u.
- SG: No. 123
- Magnetization: 2.04 Bohr magnetons per cell
- ρ: 7.7 g/cm3

Geometry as POSCAR:
```
HgWIO2
1.0
-2.427 -1.484 -2.863
2.471 -3.157 -0.459
-3.707 -3.632 5.025
O W I Hg
2 1 1 1
direct
0.500 0.000 0.000
0.000 0.500 0.000
0.000 0.000 0.000
0.000 0.000 0.500
0.500 0.500 0.500
```


<2>
Compound: HgWIO2
Source: Alexandria via LeMat-Bulk
Functional: PBE with a Hubbard U
Structure: relaxed

Values from the calculation:
- Fermi-level density of states: 2.363 states/eV/f.u.
- SG: No. 123
- Magnetization: 3.65 Bohr magnetons per cell
- ρ: 7.5 g/cm3

Geometry as POSCAR:
```
HgWIO2
1.0
-4.080 0.841 0.928
-0.613 -4.098 1.019
1.694 1.305 6.267
I W O Hg
1 1 2 1
direct
0.000 0.000 0.500
0.500 0.500 0.500
0.500 0.000 0.000
0.000 0.500 0.000
0.000 0.000 0.000
```


Which of them is the least stable? Correct choice: <2>.